# 1
This record from Alexandria via LeMat-Bulk describes crystalline Nd2HfH at its relaxed geometry. The functional is PBE.

Geometry as POSCAR:
```
Nd2HfH
1.0
1.651 0.953 9.614
-1.651 0.953 9.614
0.000 -1.907 9.614
Nd Hf H
2 1 1
Direct
0.111 0.111 0.111
0.889 0.889 0.889
0.000 0.000 0.000
0.500 0.500 0.500
```

Calculated values
The density of states at the Fermi level is 4.3 states/eV/cell. As for the energy: -5.50 eV per atom. The value obtained for the total magnetization is 0.0 μB/cell.

---

# 2
This record from Alexandria via LeMat-Bulk describes crystalline NdHfH at its relaxed geometry. The functional is PBE.

Geometry as POSCAR:
```
NdHfH
1.0
3.074 0.000 0.000
0.000 3.207 3.198
0.000 -3.207 3.198
Nd Hf H
1 1 1
Direct
0.000 0.000 0.000
0.000 0.491 0.491
0.500 0.279 0.279
```

Calculated values
The density of states at the Fermi level is 3.0 states/eV/cell. As for the energy: -5.56 eV per atom. The value obtained for the total magnetization is 0.0 μB/cell.

---

# 3
This record from Alexandria via LeMat-Bulk describes crystalline Nd3Hf5H12 at its relaxed geometry. The functional is PBE.

Geometry as POSCAR:
```
Nd3Hf5H12
1.0
-6.251 6.251 6.251
6.251 -6.251 6.251
6.251 6.251 -6.251
Nd Hf H
12 20 48
Direct
0.125 0.250 0.375
0.125 0.375 0.750
0.250 0.375 0.125
0.250 0.875 0.625
0.375 0.125 0.250
0.375 0.750 0.125
0.625 0.250 0.875
0.625 0.875 0.750
0.750 0.125 0.375
0.750 0.625 0.875
0.875 0.625 0.250
0.875 0.750 0.625
0.000 0.000 0.000
0.000 0.000 0.500
0.000 0.500 0.000
0.000 0.500 0.500
0.125 0.750 0.875
0.125 0.875 0.250
0.250 0.125 0.875
0.250 0.625 0.375
0.375 0.250 0.625
0.375 0.625 0.750
0.500 0.000 0.000
0.500 0.000 0.500
0.500 0.500 0.000
0.500 0.500 0.500
0.625 0.375 0.250
0.625 0.750 0.375
0.750 0.375 0.625
0.750 0.875 0.125
0.875 0.125 0.750
0.875 0.250 0.125
0.047 0.211 0.134
0.047 0.336 0.913
0.077 0.711 0.664
0.077 0.866 0.413
0.087 0.634 0.423
0.087 0.953 0.664
0.134 0.047 0.211
0.134 0.587 0.923
0.164 0.211 0.577
0.164 0.453 0.587
0.211 0.134 0.047
0.211 0.577 0.164
0.289 0.336 0.923
0.289 0.453 0.366
0.336 0.913 0.047
0.336 0.923 0.289
0.366 0.289 0.453
0.366 0.577 0.913
0.413 0.077 0.866
0.413 0.836 0.547
0.423 0.087 0.634
0.423 0.836 0.789
0.453 0.366 0.289
0.453 0.587 0.164
0.547 0.413 0.836
0.547 0.634 0.711
0.577 0.164 0.211
0.577 0.913 0.366
0.587 0.164 0.453
0.587 0.923 0.134
0.634 0.423 0.087
0.634 0.711 0.547
0.664 0.077 0.711
0.664 0.087 0.953
0.711 0.547 0.634
0.711 0.664 0.077
0.789 0.423 0.836
0.789 0.866 0.953
0.836 0.547 0.413
0.836 0.789 0.423
0.866 0.413 0.077
0.866 0.953 0.789
0.913 0.047 0.336
0.913 0.366 0.577
0.923 0.134 0.587
0.923 0.289 0.336
0.953 0.664 0.087
0.953 0.789 0.866
```

Calculated values
The density of states at the Fermi level is 42.2 states/eV/cell. As for the energy: -5.57 eV per atom. The value obtained for the total magnetization is 0.0 μB/cell.

---

# 4
This record from Alexandria via LeMat-Bulk describes crystalline NdHf2H at its relaxed geometry. The functional is PBE.

Geometry as POSCAR:
```
NdHf2H
1.0
1.623 0.937 8.744
-1.623 0.937 8.744
0.000 -1.874 8.744
Nd Hf H
1 2 1
Direct
0.000 0.000 0.000
0.119 0.119 0.119
0.881 0.881 0.881
0.500 0.500 0.500
```

Calculated values
The density of states at the Fermi level is 4.7 states/eV/cell. As for the energy: -6.86 eV per atom. The value obtained for the total magnetization is 0.0 μB/cell.

---

# 5
This record from Alexandria via LeMat-Bulk describes crystalline Hf2NiH at its relaxed geometry. The functional is PBE.

Geometry as POSCAR:
```
Hf2NiH
1.0
-3.001 3.001 3.263
3.001 -3.001 3.263
3.001 3.001 -3.263
Hf Ni H
4 2 2
Direct
0.065 0.625 0.940
0.375 0.315 0.440
0.685 0.125 0.060
0.875 0.935 0.560
0.250 0.750 0.500
0.500 0.500 0.000
0.000 0.000 0.000
0.750 0.250 0.500
```

Calculated values
The density of states at the Fermi level is 5.9 states/eV/cell. As for the energy: -7.49 eV per atom. The value obtained for the relative energy among the computed polymorphs is 160.5 meV per atom. The value obtained for the total magnetization is 0.0 μB/cell.

---

# 6
This record from Alexandria via LeMat-Bulk describes crystalline HfNiH at its relaxed geometry. The functional is PBE.

Geometry as POSCAR:
```
HfNiH
1.0
3.445 0.000 0.000
-1.722 2.983 0.000
0.000 0.000 3.635
Hf Ni H
1 1 1
Direct
0.000 0.000 0.000
0.667 0.333 0.500
0.333 0.667 0.005
```

Calculated values
The density of states at the Fermi level is 1.5 states/eV/cell. As for the energy: -6.51 eV per atom. The value obtained for the relative energy among the computed polymorphs is 328.5 meV per atom. The value obtained for the total magnetization is 0.0 μB/cell.

---

# 7
This record from Alexandria via LeMat-Bulk describes crystalline HfNi3H6 at its relaxed geometry. The functional is PBE.

Geometry as POSCAR:
```
HfNi3H6
1.0
6.369 0.000 0.000
0.000 3.120 0.000
-3.061 0.000 6.983
Hf Ni H
2 6 12
Direct
0.236 0.250 0.158
0.764 0.750 0.842
0.025 0.750 0.363
0.335 0.750 0.873
0.392 0.250 0.583
0.608 0.750 0.417
0.665 0.250 0.127
0.975 0.250 0.637
0.084 0.750 0.019
0.097 0.250 0.458
0.186 0.250 0.847
0.318 0.750 0.364
0.389 0.750 0.674
0.450 0.750 0.108
0.550 0.250 0.892
0.611 0.250 0.326
0.682 0.250 0.636
0.814 0.750 0.153
0.903 0.750 0.542
0.916 0.250 0.981
```

Calculated values
The density of states at the Fermi level is 5.0 states/eV/cell. As for the energy: -4.87 eV per atom. The value obtained for the relative energy among the computed polymorphs is 54.9 meV per atom. The value obtained for the total magnetization is 0.0 μB/cell.

---

# 8
This record from Alexandria via LeMat-Bulk describes crystalline Hf2NiH at its relaxed geometry. The functional is PBE.

Geometry as POSCAR:
```
Hf2NiH
1.0
0.000 3.090 3.090
3.090 0.000 3.090
3.090 3.090 0.000
Hf Ni H
2 1 1
Direct
0.250 0.250 0.250
0.750 0.750 0.750
0.000 0.000 0.000
0.500 0.500 0.500
```

Calculated values
The density of states at the Fermi level is 5.2 states/eV/cell. As for the energy: -7.26 eV per atom. The value obtained for the relative energy among the computed polymorphs is 386.3 meV per atom. The value obtained for the total magnetization is 0.0 μB/cell.

---

# 9
This record from Alexandria via LeMat-Bulk describes crystalline Hf3NiH3 at its relaxed geometry. The functional is PBE.

Geometry as POSCAR:
```
Hf3NiH3
1.0
5.573 0.000 0.000
0.000 5.573 0.000
0.000 0.000 5.573
Hf Ni H
6 2 6
Direct
0.000 0.250 0.500
0.000 0.750 0.500
0.250 0.500 0.000
0.500 0.000 0.250
0.500 0.000 0.750
0.750 0.500 0.000
0.000 0.000 0.000
0.500 0.500 0.500
0.000 0.500 0.250
0.000 0.500 0.750
0.250 0.000 0.500
0.500 0.250 0.000
0.500 0.750 0.000
0.750 0.000 0.500
```

Calculated values
The density of states at the Fermi level is 8.6 states/eV/cell. As for the energy: -6.76 eV per atom. The value obtained for the total magnetization is 0.0 μB/cell.

---

# 10
This record from Alexandria via LeMat-Bulk describes crystalline HfNi5H6 at its relaxed geometry. The functional is PBE.

Geometry as POSCAR:
```
HfNi5H6
1.0
2.395 -4.065 0.000
2.395 4.065 0.000
-1.521 0.000 4.489
Hf Ni H
1 5 6
Direct
0.000 0.000 0.000
0.160 0.840 0.500
0.331 0.669 0.000
0.500 0.500 0.500
0.669 0.331 0.000
0.840 0.160 0.500
0.128 0.488 0.259
0.244 0.244 0.686
0.488 0.128 0.259
0.512 0.872 0.741
0.756 0.756 0.314
0.872 0.512 0.741
```

Calculated values
The density of states at the Fermi level is 3.5 states/eV/cell. As for the energy: -5.06 eV per atom. The value obtained for the total magnetization is 0.0 μB/cell.

---

# 11
This record from Alexandria via LeMat-Bulk describes crystalline Hf3Ni5H12 at its relaxed geometry. The functional is PBE.

Geometry as POSCAR:
```
Hf3Ni5H12
1.0
-5.390 5.390 5.390
5.390 -5.390 5.390
5.390 5.390 -5.390
Hf Ni H
12 20 48
Direct
0.125 0.250 0.375
0.125 0.375 0.750
0.250 0.375 0.125
0.250 0.875 0.625
0.375 0.125 0.250
0.375 0.750 0.125
0.625 0.250 0.875
0.625 0.875 0.750
0.750 0.125 0.375
0.750 0.625 0.875
0.875 0.625 0.250
0.875 0.750 0.625
0.000 0.000 0.000
0.000 0.000 0.500
0.000 0.500 0.000
0.000 0.500 0.500
0.125 0.750 0.875
0.125 0.875 0.250
0.250 0.125 0.875
0.250 0.625 0.375
0.375 0.250 0.625
0.375 0.625 0.750
0.500 0.000 0.000
0.500 0.000 0.500
0.500 0.500 0.000
0.500 0.500 0.500
0.625 0.375 0.250
0.625 0.750 0.375
0.750 0.375 0.625
0.750 0.875 0.125
0.875 0.125 0.750
0.875 0.250 0.125
0.030 0.205 0.122
0.030 0.325 0.908
0.083 0.705 0.675
0.083 0.878 0.408
0.092 0.622 0.417
0.092 0.970 0.675
0.122 0.030 0.205
0.122 0.592 0.917
0.175 0.205 0.583
0.175 0.470 0.592
0.205 0.122 0.030
0.205 0.583 0.175
0.295 0.325 0.917
0.295 0.470 0.378
0.325 0.908 0.030
0.325 0.917 0.295
0.378 0.295 0.470
0.378 0.583 0.908
0.408 0.083 0.878
0.408 0.825 0.530
0.417 0.092 0.622
0.417 0.825 0.795
0.470 0.378 0.295
0.470 0.592 0.175
0.530 0.408 0.825
0.530 0.622 0.705
0.583 0.175 0.205
0.583 0.908 0.378
0.592 0.175 0.470
0.592 0.917 0.122
0.622 0.417 0.092
0.622 0.705 0.530
0.675 0.083 0.705
0.675 0.092 0.970
0.705 0.530 0.622
0.705 0.675 0.083
0.795 0.417 0.825
0.795 0.878 0.970
0.825 0.530 0.408
0.825 0.795 0.417
0.878 0.408 0.083
0.878 0.970 0.795
0.908 0.030 0.325
0.908 0.378 0.583
0.917 0.122 0.592
0.917 0.295 0.325
0.970 0.675 0.092
0.970 0.795 0.878
```

Calculated values
The density of states at the Fermi level is 47.7 states/eV/cell. As for the energy: -5.17 eV per atom. The value obtained for the total magnetization is 0.0 μB/cell.

---

# 12
This record from Alexandria via LeMat-Bulk describes crystalline Hf2NiH at its relaxed geometry. The functional is PBE.

Geometry as POSCAR:
```
Hf2NiH
1.0
6.519 -1.661 0.000
6.519 1.661 0.000
-2.620 0.000 5.426
Hf Ni H
4 2 2
Direct
0.009 0.009 0.262
0.281 0.281 0.279
0.719 0.719 0.721
0.991 0.991 0.738
0.386 0.386 0.906
0.614 0.614 0.094
0.117 0.117 0.625
0.883 0.883 0.375
```

Calculated values
The density of states at the Fermi level is 4.4 states/eV/cell. As for the energy: -7.65 eV per atom. The value obtained for the relative energy among the computed polymorphs is 0.0 meV per atom. The value obtained for the total magnetization is 0.0 μB/cell.